The following is a PBE calculation of a relaxed structure of ThUCd, from the Alexandria database.

- ΔH_f (0 K): 0.153 eV per atom
- Spin magnetization: 0.3802 μB per atom
- E: -6.388 eV per atom

abc: 8.249 8.249 5.464
angles: 90.78 90.78 25.68
Atoms (fractional coordinates):
Th  0.090  0.090  0.183
Th  0.910  0.910  0.817
U  0.245  0.245  0.659
U  0.755  0.755  0.341
Cd  0.422  0.422  0.321
Cd  0.578  0.578  0.679